# 1
A plane-wave DFT calculation with GGA-PBE was carried out for a geometry-optimized Be3MoOs structure.

Properties
E_tot = -5.7524 eV per atom
offset from the most stable computed form = 0.000 eV per atom
energy of formation = 86.4 kJ/mol of atoms

a b c (Å): 4.0646 4.0646 4.0646
angles (deg): 90.00 90.00 90.00
Closest atoms and distances in Å follow each position.
Space group Pm-3m (No. 221)
Asymmetric unit:
Be (0.0000, 0.0000, 0.5000) x3  2 Os 2.03
Mo (0.5000, 0.5000, 0.5000) x1  12 Be 2.87
Os (0.0000, 0.0000, 0.0000) x1  6 Be 2.03


# 2
A plane-wave DFT calculation with GGA-PBE was carried out for a geometry-optimized BeMo3Os structure.

Properties
E_tot = -7.5772 eV per atom
offset from the most stable computed form = 1.184 eV per atom
energy of formation = 184.5 kJ/mol of atoms

a b c (Å): 4.7218 4.7218 4.7218
angles (deg): 90.00 90.00 90.00
Closest atoms and distances in Å follow each position.
Space group Pm-3m (No. 221)
Asymmetric unit:
Be (0.0000, 0.0000, 0.0000) x1  12 Mo 3.34
Mo (0.0000, 0.5000, 0.5000) x3  2 Os 2.36
Os (0.5000, 0.5000, 0.5000) x1  6 Mo 2.36


# 3
A plane-wave DFT calculation with GGA-PBE was carried out for a geometry-optimized Be17MoOs structure.

Properties
E_tot = -4.6473 eV per atom
energy of formation = -14.7 kJ/mol of atoms

a b c (Å): 7.2539 7.2539 10.5538
angles (deg): 90.00 90.00 120.00
Closest atoms and distances in Å follow each position.
Space group R3m (No. 160, hexagonal axes)
Asymmetric unit:
Be (0.0000, 0.0000, 0.0503) x3  7 Be 2.14-2.26
Be (0.0000, 0.0000, 0.2535) x3  7 Be 2.14-2.34
Be (0.9996, 0.4998, 0.3031) x9  9 Be 2.08-2.26
Be (0.0331, 0.3628, 0.8199) x18  8 Be 2.08-2.23
Be (0.1698, 0.3395, 0.9887) x9  10 Be 2.08-2.23
Be (0.1736, 0.3471, 0.3333) x9  8 Be 2.08-2.22
Mo (0.0000, 0.0000, 0.4928) x3  19 Be 2.53-2.75
Os (0.0000, 0.0000, 0.8177) x3  13 Be 2.46-2.64


# 4
A plane-wave DFT calculation with GGA-PBE was carried out for a geometry-optimized BeMoOs3 structure.

Properties
E_tot = -9.1714 eV per atom
offset from the most stable computed form = 0.000 eV per atom
energy of formation = 46.1 kJ/mol of atoms

a b c (Å): 4.0957 4.0957 4.0957
angles (deg): 90.00 90.00 90.00
Closest atoms and distances in Å follow each position.
Space group Pm-3m (No. 221)
Asymmetric unit:
Be (0.0000, 0.0000, 0.0000) x1  6 Os 2.05
Mo (0.5000, 0.5000, 0.5000) x1  12 Os 2.90
Os (0.0000, 0.0000, 0.5000) x3  2 Be 2.05